! GGA-PBE Cs2HfIrBr6, relaxed; values from VASP
&SYSTEM
  ibrav = 0, nat = 10, ntyp = 4
/
ATOMIC_SPECIES
Cs 132.91 Cs.upf
Ir 192.22 Ir.upf
Br 79.90 Br.upf
Hf 178.49 Hf.upf
ATOMIC_POSITIONS crystal
Cs 0.2500 0.7500 0.5000
Cs 0.7500 0.2500 0.5000
Ir 0.0000 0.0000 0.0000
Br 0.7597 0.7597 0.4805
Br 0.7206 0.7206 0.0000
Br 0.2403 0.2403 0.5195
Br 0.2794 0.7206 0.0000
Br 0.2794 0.2794 0.0000
Br 0.7206 0.2794 0.0000
Hf 0.5000 0.5000 0.0000
CELL_PARAMETERS angstrom
-1.6453 -5.7095 -6.0828
7.7640 -3.3167 1.0131
1.2606 -7.6699 0.9148
! DOS at the Fermi energy	0.37	states/eV per cell
! energy	-3.996	eV per atom

***

! GGA-PBE CsKHfBr6, relaxed; values from VASP
&SYSTEM
  ibrav = 0, nat = 18, ntyp = 4
/
ATOMIC_SPECIES
Br 79.90 Br.upf
Cs 132.91 Cs.upf
K 39.10 K.upf
Hf 178.49 Hf.upf
ATOMIC_POSITIONS crystal
Br 0.6579 0.5941 0.1435
Br 0.5941 0.9362 0.8565
Br 0.3421 0.9362 0.6435
Br 0.9362 0.5941 0.3565
Br 0.0638 0.6579 0.8565
Br 0.4059 0.3421 0.3565
Br 0.9362 0.3421 0.1435
Br 0.3421 0.4059 0.8565
Br 0.4059 0.0638 0.1435
Br 0.0638 0.4059 0.6435
Br 0.6579 0.0638 0.3565
Br 0.5941 0.6579 0.6435
Cs 0.0000 0.0000 0.5000
Cs 0.0000 0.0000 0.0000
K 0.3333 0.6667 0.2500
K 0.6667 0.3333 0.7500
Hf 0.6667 0.3333 0.2500
Hf 0.3333 0.6667 0.7500
CELL_PARAMETERS angstrom
-3.9287 -5.3263 4.6187
2.8664 -2.2455 -7.2027
12.4186 -3.8370 6.1384
! DOS at the Fermi energy	0.00	states/eV per cell
! energy	-4.050	eV per atom

***

! GGA-PBE Cs2HfMnBr6, relaxed; values from VASP
&SYSTEM
  ibrav = 0, nat = 10, ntyp = 4
/
ATOMIC_SPECIES
Hf 178.49 Hf.upf
Br 79.90 Br.upf
Mn 54.94 Mn.upf
Cs 132.91 Cs.upf
ATOMIC_POSITIONS crystal
Hf 0.0000 0.0000 0.0000
Br 0.2492 0.2492 0.0000
Br 0.2492 0.7508 0.0000
Br 0.2491 0.2491 0.5019
Br 0.7508 0.2492 0.0000
Br 0.7508 0.7508 0.0000
Br 0.7509 0.7509 0.4981
Mn 0.5000 0.5000 0.0000
Cs 0.2500 0.7500 0.5000
Cs 0.7500 0.2500 0.5000
CELL_PARAMETERS angstrom
-0.0810 -6.9523 -3.3014
4.1878 -2.8098 5.8145
-2.5157 -6.1088 3.9541
! DOS at the Fermi energy	4.78	states/eV per cell
! energy	-4.249	eV per atom

***

! GGA-PBE Cs2HfMoBr6, relaxed; values from VASP
&SYSTEM
  ibrav = 0, nat = 10, ntyp = 4
/
ATOMIC_SPECIES
Br 79.90 Br.upf
Hf 178.49 Hf.upf
Cs 132.91 Cs.upf
Mo 95.94 Mo.upf
ATOMIC_POSITIONS crystal
Br 0.2407 0.7593 0.0000
Br 0.7593 0.2407 0.0000
Br 0.2407 0.2407 0.0000
Br 0.7593 0.7593 0.0000
Br 0.2407 0.2407 0.5185
Br 0.7593 0.7593 0.4815
Hf 0.0000 0.0000 0.0000
Cs 0.2500 0.7500 0.5000
Cs 0.7500 0.2500 0.5000
Mo 0.5000 0.5000 0.0000
CELL_PARAMETERS angstrom
-4.4695 0.2089 -6.4955
4.3437 -5.7678 -3.1743
-3.4800 -6.5797 -2.6058
! DOS at the Fermi energy	4.94	states/eV per cell
! energy	-4.190	eV per atom

***

! GGA-PBE CsNa2HfBr8, relaxed; values from VASP
&SYSTEM
  ibrav = 0, nat = 12, ntyp = 4
/
ATOMIC_SPECIES
Br 79.90 Br.upf
Hf 178.49 Hf.upf
Cs 132.91 Cs.upf
Na 22.99 Na.upf
ATOMIC_POSITIONS crystal
Br 0.6874 0.7599 0.9995
Br 0.8548 0.2412 0.8116
Br 0.1469 0.7607 0.8123
Br 0.4922 0.2522 0.5000
Br 0.8531 0.2393 0.1877
Br 0.3126 0.2401 0.0005
Br 0.5078 0.7478 0.5000
Br 0.1452 0.7588 0.1884
Hf 0.0000 0.0000 0.0000
Cs 0.0000 0.0000 0.5000
Na 0.5001 0.4995 0.7780
Na 0.4999 0.5005 0.2220
CELL_PARAMETERS angstrom
-0.5900 -6.5768 2.5978
3.4075 1.7471 4.8192
-8.2635 2.6757 4.9155
! DOS at the Fermi energy	1.54	states/eV per cell
! energy	-3.607	eV per atom

***

! GGA-PBE Cs2HfBr6O, relaxed; values from VASP
&SYSTEM
  ibrav = 0, nat = 10, ntyp = 4
/
ATOMIC_SPECIES
O 16.00 O.upf
Cs 132.91 Cs.upf
Br 79.90 Br.upf
Hf 178.49 Hf.upf
ATOMIC_POSITIONS crystal
O 0.5000 0.5000 0.0000
Cs 0.7500 0.2500 0.5000
Cs 0.2500 0.7500 0.5000
Br 0.2189 0.2189 0.5622
Br 0.7811 0.7811 0.4378
Br 0.2389 0.2389 0.0000
Br 0.2389 0.7611 0.0000
Br 0.7611 0.2389 0.0000
Br 0.7611 0.7611 0.0000
Hf 0.0000 0.0000 0.0000
CELL_PARAMETERS angstrom
-1.9100 3.8087 -6.5079
0.6575 -6.6038 -4.0577
-6.4249 -2.5913 -4.2796
! DOS at the Fermi energy	0.00	states/eV per cell
! energy	-3.890	eV per atom

***

! GGA-PBE Cs2HfPBr6, relaxed; values from VASP
&SYSTEM
  ibrav = 0, nat = 10, ntyp = 4
/
ATOMIC_SPECIES
Br 79.90 Br.upf
P 30.97 P.upf
Cs 132.91 Cs.upf
Hf 178.49 Hf.upf
ATOMIC_POSITIONS crystal
Br 0.7798 0.7798 0.0000
Br 0.7798 0.2202 0.0000
Br 0.2202 0.7798 0.0000
Br 0.7800 0.7800 0.4400
Br 0.2200 0.2200 0.5600
Br 0.2202 0.2202 0.0000
P 0.5000 0.5000 0.0000
Cs 0.7500 0.2500 0.5000
Cs 0.2500 0.7500 0.5000
Hf 0.0000 0.0000 0.0000
CELL_PARAMETERS angstrom
-3.2107 -7.3703 -2.5593
3.1453 -3.7554 6.8691
-5.0863 -4.3880 5.1112
! DOS at the Fermi energy	0.00	states/eV per cell
! energy	-3.829	eV per atom

***

! GGA-PBE CsRbHfBr6, relaxed; values from VASP
&SYSTEM
  ibrav = 0, nat = 18, ntyp = 4
/
ATOMIC_SPECIES
Br 79.90 Br.upf
Hf 178.49 Hf.upf
Rb 85.47 Rb.upf
Cs 132.91 Cs.upf
ATOMIC_POSITIONS crystal
Br 0.6621 0.5876 0.1371
Br 0.9255 0.5876 0.3629
Br 0.4124 0.0745 0.1371
Br 0.5876 0.9255 0.8629
Br 0.3379 0.9255 0.6371
Br 0.4124 0.3379 0.3629
Br 0.0745 0.6621 0.8629
Br 0.3379 0.4124 0.8629
Br 0.0745 0.4124 0.6371
Br 0.6621 0.0745 0.3629
Br 0.5876 0.6621 0.6371
Br 0.9255 0.3379 0.1371
Hf 0.3333 0.6667 0.7500
Hf 0.6667 0.3333 0.2500
Rb 0.6667 0.3333 0.7500
Rb 0.3333 0.6667 0.2500
Cs 0.0000 0.0000 0.0000
Cs 0.0000 0.0000 0.5000
CELL_PARAMETERS angstrom
8.3476 0.0000 0.0000
-4.1738 7.2293 0.0000
0.0000 0.0000 13.5282
! DOS at the Fermi energy	0.00	states/eV per cell
! energy	-4.038	eV per atom

***

no.,formation energy without anion corrections (kJ per mole of atoms),calculated density (g/cm3)
1,-90.7,5.12
2,-155.5,3.40
3,-112.2,5.04
4,-90.4,4.88
5,-132.3,3.80
6,-118.1,4.29
7,-107.9,3.73
8,-155.8,3.56